First-principles (PBE-GGA) data for a relaxed structure of InB2P, as listed in the Alexandria database.

Unit cell a=4.234 b=4.234 c=4.234 alpha=60.00 beta=60.00 gamma=60.00
Fractional positions:
In 0.000 0.000 0.000
B 0.250 0.250 0.250
B 0.750 0.750 0.750
P 0.500 0.500 0.500

Output
total energy = -3.796 eV/atom